# YV3Pb, optimized geometry, DFT PBE
data_YV3Pb
_chemical_formula_sum 'Y1 V3 Pb1'
_space_group_name_H-M_alt 'P m -3 m'
_space_group_IT_number 221
_space_group_name_Hall '-P 4 2 3'
_cell_length_a 4.752
_cell_length_b 4.752
_cell_length_c 4.752
_cell_angle_alpha 90.00
_cell_angle_beta 90.00
_cell_angle_gamma 90.00
loop_
_atom_site_label
_atom_site_type_symbol
_atom_site_fract_x
_atom_site_fract_y
_atom_site_fract_z
Y1 Y 0.000 0.000 0.000
V1 V 0.000 0.000 0.500
Pb1 Pb 0.500 0.500 0.500
# E above lowest polymorph	512	meV/atom
# ΔH_f (0 K)	1.86	eV/atom
# magnetization	0.9	μB per formula unit